(1)
# TaZn3Si, optimized geometry, DFT PBE-GGA
data_TaZn3Si
_symmetry_space_group_name_H-M 'P m -3 m'
_symmetry_Int_Tables_number 221
_symmetry_space_group_name_Hall '-P 4 2 3'
_cell_length_a 5.003
_cell_length_b 5.003
_cell_length_c 5.003
_cell_angle_alpha 90.00
_cell_angle_beta 90.00
_cell_angle_gamma 90.00
loop_
_atom_site_label
_atom_site_fract_x
_atom_site_fract_y
_atom_site_fract_z
_atom_site_occupancy
Ta1 0.000 0.000 0.000 1
Zn1 0.000 0.000 0.500 1
Si1 0.500 0.500 0.500 1
# * ΔE_f (raw): 6.92 eV per formula unit
# * energy above the lowest structure with this stoichiometry: 343.6 meV per atom
# * E_tot: -14.18 eV for the cell shown
# * density of states at the Fermi level: 5.352 states/eV per cell

(2)
# Ta2ZnSi, optimized geometry, DFT PBE-GGA
data_Ta2ZnSi
_symmetry_space_group_name_H-M 'C 1 m 1'
_symmetry_Int_Tables_number 8
_symmetry_space_group_name_Hall 'C -2y'
_cell_length_a 9.939
_cell_length_b 2.800
_cell_length_c 4.726
_cell_angle_alpha 90.00
_cell_angle_beta 105.46
_cell_angle_gamma 90.00
loop_
_atom_site_label
_atom_site_fract_x
_atom_site_fract_y
_atom_site_fract_z
_atom_site_occupancy
Ta1 0.000 0.000 0.000 1
Ta2 0.206 0.000 0.628 1
Zn1 0.455 0.000 0.477 1
Si1 0.245 0.500 0.148 1
# * ΔE_f (raw): -0.30 eV per formula unit
# * E_tot: -61.41 eV for the cell shown
# * density of states at the Fermi level: 4.534 states/eV per cell

(3)
# TaZnSi2, optimized geometry, DFT PBE-GGA
data_TaZnSi2
_symmetry_space_group_name_H-M 'C 1 2/m 1'
_symmetry_Int_Tables_number 12
_symmetry_space_group_name_Hall '-C 2y'
_cell_length_a 9.224
_cell_length_b 2.776
_cell_length_c 4.872
_cell_angle_alpha 90.00
_cell_angle_beta 95.56
_cell_angle_gamma 90.00
loop_
_atom_site_label
_atom_site_fract_x
_atom_site_fract_y
_atom_site_fract_z
_atom_site_occupancy
Ta1 0.000 0.000 0.000 1
Zn1 0.000 0.500 0.500 1
Si1 0.239 0.500 0.231 1
# * ΔE_f (raw): 0.24 eV per formula unit
# * E_tot: -47.47 eV for the cell shown
# * density of states at the Fermi level: 3.033 states/eV per cell

(4)
# TaZn3Si, optimized geometry, DFT PBE-GGA
data_TaZn3Si
_symmetry_space_group_name_H-M 'P m -3 m'
_symmetry_Int_Tables_number 221
_symmetry_space_group_name_Hall '-P 4 2 3'
_cell_length_a 4.521
_cell_length_b 4.521
_cell_length_c 4.521
_cell_angle_alpha 90.00
_cell_angle_beta 90.00
_cell_angle_gamma 90.00
loop_
_atom_site_label
_atom_site_fract_x
_atom_site_fract_y
_atom_site_fract_z
_atom_site_occupancy
Ta1 0.000 0.000 0.000 1
Zn1 0.000 0.500 0.500 1
Si1 0.500 0.500 0.500 1
# * ΔE_f (raw): 5.20 eV per formula unit
# * energy above the lowest structure with this stoichiometry: 0.0 meV per atom
# * E_tot: -15.90 eV for the cell shown
# * density of states at the Fermi level: 4.009 states/eV per cell

(5)
# Ta2ZnSi, optimized geometry, DFT PBE-GGA
data_Ta2ZnSi
_symmetry_space_group_name_H-M 'P 4/m m m'
_symmetry_Int_Tables_number 123
_symmetry_space_group_name_Hall '-P 4 2'
_cell_length_a 2.847
_cell_length_b 2.847
_cell_length_c 7.832
_cell_angle_alpha 90.00
_cell_angle_beta 90.00
_cell_angle_gamma 90.00
loop_
_atom_site_label
_atom_site_fract_x
_atom_site_fract_y
_atom_site_fract_z
_atom_site_occupancy
Ta1 0.000 0.000 0.242 1
Zn1 0.500 0.500 0.500 1
Si1 0.500 0.500 0.000 1
# * ΔE_f (raw): -0.24 eV per formula unit
# * E_tot: -30.64 eV for the cell shown
# * density of states at the Fermi level: 1.811 states/eV per cell

(6)
# TaZnSi3, optimized geometry, DFT PBE-GGA
data_TaZnSi3
_symmetry_space_group_name_H-M 'P m -3 m'
_symmetry_Int_Tables_number 221
_symmetry_space_group_name_Hall '-P 4 2 3'
_cell_length_a 4.923
_cell_length_b 4.923
_cell_length_c 4.923
_cell_angle_alpha 90.00
_cell_angle_beta 90.00
_cell_angle_gamma 90.00
loop_
_atom_site_label
_atom_site_fract_x
_atom_site_fract_y
_atom_site_fract_z
_atom_site_occupancy
Ta1 0.000 0.000 0.000 1
Zn1 0.500 0.500 0.500 1
Si1 0.000 0.000 0.500 1
# * ΔE_f (raw): 3.66 eV per formula unit
# * energy above the lowest structure with this stoichiometry: 0.0 meV per atom
# * E_tot: -25.73 eV for the cell shown
# * density of states at the Fermi level: 4.615 states/eV per cell